18
Lattice="-1.934 0.943 -6.600 3.984 -6.691 -2.124 -7.142 -5.812 4.913" Properties=species:S:1:pos:R:3 comment="Ca3Nd2Cd4 | the Alexandria database | PBE | relaxed" formation_energy_ev_per_atom=-0.17 mass_density_kg_m3=5169 final_energy_ev_per_cell=-41.5 vol_a3_per_atom=30.64 total_magnetization_mub_per_atom=0.000 pbc="T T T"
Ca 1.025 -2.874 -4.362
Ca -0.737 -8.026 0.894
Ca 0.000 0.000 0.000
Ca -3.388 -4.006 -1.405
Ca -1.704 -7.554 -2.406
Ca -4.355 -3.534 -4.705
Cd -0.715 -2.246 -1.937
Cd -3.410 -9.786 1.426
Cd -3.684 -6.876 0.097
Cd -4.377 -9.314 -1.874
Cd 1.373 -8.203 -1.575
Cd -6.465 -3.357 -2.236
Cd -1.682 -1.774 -5.237
Cd -1.409 -4.685 -3.907
Nd -5.993 -6.590 -2.836
Nd 1.151 -6.543 -4.923
Nd 0.901 -4.970 -0.974
Nd -6.244 -5.017 1.113

12
Lattice="-3.913 -0.691 -0.069 -0.036 -0.258 3.966 -3.594 13.853 1.969" Properties=species:S:1:pos:R:3 comment="PrGa2P2Pt7 | the Alexandria database | PBE | relaxed" formation_energy_ev_per_atom=-0.55 mass_density_kg_m3=12501 final_energy_ev_per_cell=-70.6 vol_a3_per_atom=18.91 total_magnetization_mub_per_atom=0.000 pbc="T T T"
Pt -3.208 11.418 3.809
Pt -1.975 -0.475 1.948
Pt -5.145 11.202 1.793
Pt -2.399 1.702 4.072
Pt -4.440 7.605 3.451
Pt -3.103 5.299 2.414
Pt -4.335 1.486 2.057
Ga -4.950 5.077 4.212
Ga -2.593 7.827 1.653
P -4.938 9.802 3.694
P -2.606 3.102 2.171
Pr 0.000 0.000 0.000

10
Lattice="4.990 0.000 -2.674 -3.211 4.662 0.000 0.501 0.345 6.927" Properties=species:S:1:pos:R:3 comment="HoBe3Au6 | the Alexandria database | PBE | relaxed" formation_energy_ev_per_atom=-0.29 mass_density_kg_m3=13394 final_energy_ev_per_cell=-38.3 vol_a3_per_atom=17.03 total_magnetization_mub_per_atom=0.000 pbc="T T T"
Au -1.242 3.253 1.261
Au 1.391 2.342 0.187
Au 3.016 2.052 2.593
Au 3.659 0.465 -0.335
Au -1.120 4.387 3.947
Au 0.502 2.087 3.927
Ho 2.020 4.829 3.770
Be -0.046 3.406 5.907
Be 2.673 1.842 4.988
Be 1.042 0.718 1.945

9
Lattice="4.845 0.000 0.000 0.000 4.845 0.000 -2.423 -2.423 13.065" Properties=species:S:1:pos:R:3 comment="NdSm6Zn2 | the Alexandria database | PBE | relaxed" formation_energy_ev_per_atom=0.25 mass_density_kg_m3=6373 final_energy_ev_per_cell=-33.3 vol_a3_per_atom=34.08 e_above_lowest_polymorph_mev_per_atom=389 total_magnetization_mub_per_atom=0.001 pbc="T T T"
Zn 0.000 0.000 8.428
Zn 2.423 2.423 4.638
Sm 2.423 0.000 10.263
Sm 0.000 2.423 6.533
Sm 0.000 2.423 2.802
Sm 2.423 0.000 2.802
Sm 2.423 0.000 6.533
Sm 0.000 2.423 10.263
Nd 0.000 0.000 0.000

16
Lattice="-3.006 4.390 3.488 -4.943 2.107 -6.910 -2.658 -6.228 5.547" Properties=species:S:1:pos:R:3 comment="Dy10Ge3Sb3 | the Alexandria database | PBE | relaxed" mass_density_kg_m3=8686 formation_energy_uncorrected_ev_per_atom=-0.850 final_energy_ev_per_cell=-85.8 vol_a3_per_atom=26.38 total_magnetization_mub_per_atom=0.000 pbc="T T T"
Ge -3.427 3.015 -0.946
Ge -2.538 -0.230 3.904
Ge -6.145 -0.322 0.912
Dy -4.954 0.457 -1.861
Dy -5.653 -0.189 3.986
Dy -6.414 2.589 -0.166
Dy -3.514 -2.516 5.940
Dy -3.354 1.191 1.412
Dy -0.643 -1.507 1.342
Dy -5.242 3.788 -3.483
Dy -4.192 -2.321 2.291
Dy -5.762 -3.124 -1.034
Dy -1.196 0.510 -1.672
Sb -1.609 -3.771 3.358
Sb -2.999 -1.626 -0.538
Sb -2.993 1.275 -4.184

12
Lattice="-4.590 -2.874 -2.460 5.011 -2.797 -6.082 1.663 -4.260 9.067" Properties=species:S:1:pos:R:3 comment="Ac3Tl2Si | the Alexandria database | PBE | relaxed" mass_density_kg_m3=8514 formation_energy_uncorrected_ev_per_atom=-0.331 final_energy_ev_per_cell=-48.9 vol_a3_per_atom=36.34 e_above_lowest_polymorph_mev_per_atom=24 total_magnetization_mub_per_atom=0.000 pbc="T T T"
Si -3.337 -3.574 -3.980
Si 3.758 -2.097 -4.561
Ac -1.042 -2.136 -2.750
Ac 0.494 -1.870 1.265
Ac 1.463 -3.535 -5.791
Ac -0.915 -6.662 2.302
Ac 1.590 -8.061 -0.739
Ac 2.999 -3.269 -1.776
Tl -0.110 -3.637 4.455
Tl 2.194 -6.294 -3.929
Tl -0.312 -4.896 -0.889
Tl 2.396 -5.035 1.415